[1]
Below is Hf3Cd after structural relaxation, with properties calculated at the PBE level.

a b c (Å): 4.3559 4.3559 9.1117
angles (deg): 90.00 90.00 90.00
Last column: nearest neighbours and their distance in Å.
Fractional positions:
1 Hf 0.0000 0.0000 0.0000  4 Cd 3.08, 8 Hf 3.15
2 Hf 0.0000 0.5000 0.2500  8 Hf 3.08-3.15, 4 Cd 3.15
3 Hf 0.0000 0.5000 0.7500  8 Hf 3.08-3.15, 4 Cd 3.15
4 Hf 0.5000 0.0000 0.2500  8 Hf 3.08-3.15, 4 Cd 3.15
5 Hf 0.5000 0.0000 0.7500  8 Hf 3.08-3.15, 4 Cd 3.15
6 Hf 0.5000 0.5000 0.5000  4 Cd 3.08, 8 Hf 3.15
7 Cd 0.0000 0.0000 0.5000  12 Hf 3.08-3.15
8 Cd 0.5000 0.5000 0.0000  12 Hf 3.08-3.15

Computed properties:
The value obtained for the formation energy is 8 meV per atom. The magnetic moment is 0.0 μB per formula unit. Its symmetry is No. 139.



[2]
Below is HfCd8 after structural relaxation, with properties calculated at the PBE level.

a b c (Å): 8.2800 8.2800 8.2800
angles (deg): 91.92 91.92 158.91
Last column: nearest neighbours and their distance in Å.
Fractional positions:
1 Hf 0.0000 0.0000 0.0000  2 Hf 3.03, 8 Cd 3.11
2 Cd 0.0000 0.3334 0.3334  10 Cd 3.03-3.11
3 Cd 0.0000 0.6666 0.6666  10 Cd 3.03-3.11
4 Cd 0.3334 0.0000 0.3334  10 Cd 3.03-3.11
5 Cd 0.3335 0.3335 0.6670  8 Cd 3.03-3.11, 2 Hf 3.11
6 Cd 0.3335 0.6665 0.0000  8 Cd 3.03-3.11, 2 Hf 3.11
7 Cd 0.6666 0.0000 0.6666  10 Cd 3.03-3.11
8 Cd 0.6665 0.3335 0.0000  8 Cd 3.03-3.11, 2 Hf 3.11
9 Cd 0.6665 0.6665 0.3330  8 Cd 3.03-3.11, 2 Hf 3.11

Computed properties:
The value obtained for the formation energy is 47 meV per atom. The magnetic moment is 0.0 μB per formula unit. Its symmetry is No. 139.